# 1
# ZrAu | Alexandria via LeMat-Bulk | PBE | relaxed
data_ZrAu
_chemical_formula_sum 'Zr8 Au8'
_cell_length_a 8.520
_cell_length_b 8.520
_cell_length_c 8.520
_cell_angle_alpha 90.00
_cell_angle_beta 90.00
_cell_angle_gamma 90.00
_symmetry_space_group_name_H-M 'P 1'
_symmetry_Int_Tables_number 1
_symmetry_space_group_name_Hall 'P 1'
loop_
_atom_site_label
_atom_site_fract_x
_atom_site_fract_y
_atom_site_fract_z
Au1 0.679 0.321 0.679
Au2 0.179 0.821 0.179
Au3 0.321 0.321 0.321
Au4 0.821 0.179 0.179
Au5 0.321 0.679 0.679
Au6 0.821 0.821 0.821
Au7 0.679 0.679 0.321
Au8 0.179 0.179 0.821
Zr1 0.864 0.864 0.136
Zr2 0.364 0.364 0.636
Zr3 0.136 0.864 0.864
Zr4 0.136 0.136 0.136
Zr5 0.636 0.364 0.364
Zr6 0.636 0.636 0.636
Zr7 0.364 0.636 0.364
Zr8 0.864 0.136 0.864
# density of states at the Fermi level: 1.45 states/eV per atom
# SG: No. 217
# calculated formation energy: 1.1 eV per formula unit
# size of the total moment: 0.0 μB/cell
# E_tot: -5.380 eV/atom

# 2
# Zr7Au6 | Alexandria via LeMat-Bulk | PBE | relaxed
data_Zr7Au6
_chemical_formula_sum 'Zr7 Au6'
_cell_length_a 10.072
_cell_length_b 10.072
_cell_length_c 10.072
_cell_angle_alpha 33.22
_cell_angle_beta 33.22
_cell_angle_gamma 33.22
_symmetry_space_group_name_H-M 'P 1'
_symmetry_Int_Tables_number 1
_symmetry_space_group_name_Hall 'P 1'
loop_
_atom_site_label
_atom_site_fract_x
_atom_site_fract_y
_atom_site_fract_z
Au1 0.666 0.666 0.666
Au2 0.334 0.334 0.334
Au3 0.155 0.155 0.155
Au4 0.845 0.845 0.845
Au5 0.048 0.048 0.048
Au6 0.952 0.952 0.952
Zr1 0.412 0.920 0.412
Zr2 0.500 0.500 0.500
Zr3 0.920 0.412 0.412
Zr4 0.588 0.080 0.588
Zr5 0.412 0.412 0.920
Zr6 0.588 0.588 0.080
Zr7 0.080 0.588 0.588
# density of states at the Fermi level: 0.98 states/eV per atom
# SG: No. 166
# calculated formation energy: -0.5 eV per formula unit
# size of the total moment: 0.0 μB/cell
# E_tot: -6.153 eV/atom

# 3
# Zr2Au | Alexandria via LeMat-Bulk | PBE | relaxed
data_Zr2Au
_chemical_formula_sum 'Zr4 Au2'
_cell_length_a 5.644
_cell_length_b 5.644
_cell_length_c 5.644
_cell_angle_alpha 60.00
_cell_angle_beta 60.00
_cell_angle_gamma 60.00
_symmetry_space_group_name_H-M 'P 1'
_symmetry_Int_Tables_number 1
_symmetry_space_group_name_Hall 'P 1'
loop_
_atom_site_label
_atom_site_fract_x
_atom_site_fract_y
_atom_site_fract_z
Au1 0.750 0.750 0.750
Au2 0.500 0.500 0.500
Zr1 0.125 0.125 0.125
Zr2 0.125 0.125 0.625
Zr3 0.125 0.625 0.125
Zr4 0.625 0.125 0.125
# density of states at the Fermi level: 0.86 states/eV per atom
# SG: No. 227
# calculated formation energy: 0.4 eV per formula unit
# size of the total moment: 0.0 μB/cell
# E_tot: -6.646 eV/atom

# 4
# ZrAu | Alexandria via LeMat-Bulk | PBE | relaxed
data_ZrAu
_chemical_formula_sum 'Zr6 Au6'
_cell_length_a 7.595
_cell_length_b 7.595
_cell_length_c 7.595
_cell_angle_alpha 90.00
_cell_angle_beta 90.00
_cell_angle_gamma 90.00
_symmetry_space_group_name_H-M 'P 1'
_symmetry_Int_Tables_number 1
_symmetry_space_group_name_Hall 'P 1'
loop_
_atom_site_label
_atom_site_fract_x
_atom_site_fract_y
_atom_site_fract_z
Au1 0.000 0.750 0.500
Au2 0.500 0.000 0.750
Au3 0.750 0.500 0.000
Au4 0.000 0.250 0.500
Au5 0.250 0.500 0.000
Au6 0.500 0.000 0.250
Zr1 0.750 0.000 0.500
Zr2 0.500 0.250 0.000
Zr3 0.000 0.500 0.750
Zr4 0.500 0.750 0.000
Zr5 0.250 0.000 0.500
Zr6 0.000 0.500 0.250
# density of states at the Fermi level: 1.92 states/eV per atom
# SG: No. 223
# calculated formation energy: 1.1 eV per formula unit
# size of the total moment: 0.0 μB/cell
# E_tot: -5.344 eV/atom

# 5
# ZrAu | Alexandria via LeMat-Bulk | PBE | relaxed
data_ZrAu
_chemical_formula_sum 'Zr1 Au1'
_cell_length_a 3.315
_cell_length_b 3.315
_cell_length_c 4.423
_cell_angle_alpha 90.00
_cell_angle_beta 90.00
_cell_angle_gamma 120.00
_symmetry_space_group_name_H-M 'P 1'
_symmetry_Int_Tables_number 1
_symmetry_space_group_name_Hall 'P 1'
loop_
_atom_site_label
_atom_site_fract_x
_atom_site_fract_y
_atom_site_fract_z
Au1 0.000 0.000 0.000
Zr1 0.333 0.667 0.500
# density of states at the Fermi level: 1.14 states/eV per atom
# SG: No. 187
# calculated formation energy: -0.6 eV per formula unit
# size of the total moment: 0.0 μB/cell
# E_tot: -6.190 eV/atom

# 6
# ZrAu | Alexandria via LeMat-Bulk | PBE | relaxed
data_ZrAu
_chemical_formula_sum 'Zr2 Au2'
_cell_length_a 4.819
_cell_length_b 4.819
_cell_length_c 4.819
_cell_angle_alpha 59.99
_cell_angle_beta 59.99
_cell_angle_gamma 59.99
_symmetry_space_group_name_H-M 'P 1'
_symmetry_Int_Tables_number 1
_symmetry_space_group_name_Hall 'P 1'
loop_
_atom_site_label
_atom_site_fract_x
_atom_site_fract_y
_atom_site_fract_z
Au1 0.875 0.875 0.875
Au2 0.125 0.125 0.125
Zr1 0.375 0.375 0.375
Zr2 0.625 0.625 0.625
# density of states at the Fermi level: 0.71 states/eV per atom
# SG: No. 227
# calculated formation energy: -0.4 eV per formula unit
# size of the total moment: 2.0 μB/cell
# E_tot: -6.134 eV/atom

# 7
# Zr2Au | Alexandria via LeMat-Bulk | PBE | relaxed
data_Zr2Au
_chemical_formula_sum 'Zr4 Au2'
_cell_length_a 5.700
_cell_length_b 5.700
_cell_length_c 7.581
_cell_angle_alpha 69.69
_cell_angle_beta 69.69
_cell_angle_gamma 33.70
_symmetry_space_group_name_H-M 'P 1'
_symmetry_Int_Tables_number 1
_symmetry_space_group_name_Hall 'P 1'
loop_
_atom_site_label
_atom_site_fract_x
_atom_site_fract_y
_atom_site_fract_z
Zr1 0.849 0.849 0.566
Zr2 0.151 0.151 0.434
Zr3 0.500 0.500 0.796
Zr4 0.500 0.500 0.204
Au1 0.196 0.196 0.884
Au2 0.804 0.804 0.116
# density of states at the Fermi level: 1.01 states/eV per atom
# SG: No. 12
# calculated formation energy: -0.9 eV per formula unit
# size of the total moment: 0.0 μB/cell
# E_tot: -7.100 eV/atom

# 8
# ZrAu | Alexandria via LeMat-Bulk | PBE | relaxed
data_ZrAu
_chemical_formula_sum 'Zr3 Au3'
_cell_length_a 5.490
_cell_length_b 5.490
_cell_length_c 7.251
_cell_angle_alpha 70.67
_cell_angle_beta 70.67
_cell_angle_gamma 36.26
_symmetry_space_group_name_H-M 'P 1'
_symmetry_Int_Tables_number 1
_symmetry_space_group_name_Hall 'P 1'
loop_
_atom_site_label
_atom_site_fract_x
_atom_site_fract_y
_atom_site_fract_z
Au1 0.652 0.652 0.710
Au2 0.971 0.971 0.041
Au3 0.625 0.625 0.232
Zr1 0.978 0.978 0.567
Zr2 0.295 0.295 0.904
Zr3 0.313 0.313 0.379
# density of states at the Fermi level: 0.99 states/eV per atom
# SG: No. 8
# calculated formation energy: -0.8 eV per formula unit
# size of the total moment: 0.0 μB/cell
# E_tot: -6.325 eV/atom

# 9
# ZrAu | Alexandria via LeMat-Bulk | PBE | relaxed
data_ZrAu
_chemical_formula_sum 'Zr16 Au16'
_cell_length_a 10.994
_cell_length_b 8.787
_cell_length_c 7.215
_cell_angle_alpha 90.00
_cell_angle_beta 90.00
_cell_angle_gamma 90.00
_symmetry_space_group_name_H-M 'P 1'
_symmetry_Int_Tables_number 1
_symmetry_space_group_name_Hall 'P 1'
loop_
_atom_site_label
_atom_site_fract_x
_atom_site_fract_y
_atom_site_fract_z
Zr1 0.750 0.456 0.750
Zr2 0.500 0.706 0.500
Zr3 0.000 0.706 0.000
Zr4 0.250 0.544 0.750
Zr5 0.500 0.206 0.000
Zr6 0.750 0.956 0.250
Zr7 0.000 0.294 0.000
Zr8 0.750 0.544 0.250
Zr9 0.000 0.794 0.500
Zr10 0.750 0.044 0.750
Zr11 0.250 0.044 0.250
Zr12 0.250 0.956 0.750
Zr13 0.250 0.456 0.250
Zr14 0.000 0.206 0.500
Zr15 0.500 0.794 0.000
Zr16 0.500 0.294 0.500
Au1 0.500 0.500 0.193
Au2 0.250 0.750 0.443
Au3 0.000 0.500 0.307
Au4 0.750 0.750 0.557
Au5 0.250 0.250 0.557
Au6 0.500 0.500 0.807
Au7 0.750 0.250 0.443
Au8 0.750 0.750 0.943
Au9 0.250 0.750 0.057
Au10 0.500 0.000 0.307
Au11 0.000 0.000 0.193
Au12 0.000 0.500 0.693
Au13 0.000 0.000 0.807
Au14 0.250 0.250 0.943
Au15 0.500 0.000 0.693
Au16 0.750 0.250 0.057
# density of states at the Fermi level: 1.12 states/eV per atom
# SG: No. 70
# calculated formation energy: -0.6 eV per formula unit
# size of the total moment: 0.0 μB/cell
# E_tot: -6.227 eV/atom

# 10
# Zr4Au5 | Alexandria via LeMat-Bulk | PBE | relaxed
data_Zr4Au5
_chemical_formula_sum 'Zr4 Au5'
_cell_length_a 6.697
_cell_length_b 6.697
_cell_length_c 6.697
_cell_angle_alpha 96.81
_cell_angle_beta 96.81
_cell_angle_gamma 139.73
_symmetry_space_group_name_H-M 'P 1'
_symmetry_Int_Tables_number 1
_symmetry_space_group_name_Hall 'P 1'
loop_
_atom_site_label
_atom_site_fract_x
_atom_site_fract_y
_atom_site_fract_z
Au1 0.328 0.672 0.000
Au2 0.672 0.672 0.345
Au3 0.672 0.328 0.000
Au4 0.328 0.328 0.655
Au5 0.000 0.000 0.000
Zr1 0.000 0.321 0.321
Zr2 0.321 0.000 0.321
Zr3 0.679 0.000 0.679
Zr4 0.000 0.679 0.679
# density of states at the Fermi level: 0.62 states/eV per atom
# offset from the most stable computed form: 18 meV per atom
# SG: No. 139
# calculated formation energy: -3.6 eV per formula unit
# size of the total moment: 0.0 μB/cell
# E_tot: -6.025 eV/atom

# 11
# ZrAu3 | Alexandria via LeMat-Bulk | PBE | relaxed
data_ZrAu3
_chemical_formula_sum 'Zr1 Au3'
_cell_length_a 3.071
_cell_length_b 3.071
_cell_length_c 9.609
_cell_angle_alpha 80.80
_cell_angle_beta 80.80
_cell_angle_gamma 60.00
_symmetry_space_group_name_H-M 'P 1'
_symmetry_Int_Tables_number 1
_symmetry_space_group_name_Hall 'P 1'
loop_
_atom_site_label
_atom_site_fract_x
_atom_site_fract_y
_atom_site_fract_z
Zr1 0.250 0.250 0.250
Au1 0.500 0.500 0.500
Au2 0.750 0.750 0.750
Au3 0.000 0.000 0.000
# density of states at the Fermi level: 0.41 states/eV per atom
# SG: No. 166
# calculated formation energy: -0.7 eV per formula unit
# size of the total moment: 0.0 μB/cell
# E_tot: -4.778 eV/atom

# 12
# Zr2Au | Alexandria via LeMat-Bulk | PBE | relaxed
data_Zr2Au
_chemical_formula_sum 'Zr4 Au2'
_cell_length_a 3.279
_cell_length_b 6.162
_cell_length_c 6.781
_cell_angle_alpha 75.82
_cell_angle_beta 90.00
_cell_angle_gamma 105.43
_symmetry_space_group_name_H-M 'P 1'
_symmetry_Int_Tables_number 1
_symmetry_space_group_name_Hall 'P 1'
loop_
_atom_site_label
_atom_site_fract_x
_atom_site_fract_y
_atom_site_fract_z
Au1 0.343 0.686 0.312
Au2 0.379 0.758 0.744
Zr1 0.030 0.061 0.426
Zr2 0.012 0.023 0.966
Zr3 0.692 0.384 0.630
Zr4 0.711 0.421 0.090
# density of states at the Fermi level: 0.54 states/eV per atom
# SG: No. 12
# calculated formation energy: -1.2 eV per formula unit
# size of the total moment: 0.0 μB/cell
# E_tot: -7.206 eV/atom